# 1
Material: KZnPb2
Method: DFT, GGA-PBE
State: relaxed

Output
**Formation energy**: 0.022 eV/atom
**DOS(E_F)**: 1.60 states/eV per cell
**Space group**: Imm2, No. 44
**Spin magnetization**: 0.000 μB/cell
**Excess energy over the best structure of this formula in the dataset**: 58.2 meV per atom

Unit cell a=8.0806 b=8.0806 c=8.0806 alpha=150.34 beta=147.94 gamma=44.24
Sites, in units of the cell vectors:
K: 0.0000 0.0000 0.0000
Zn: 0.7477 0.2477 0.5000
Pb: 0.2013 0.7013 0.5000
Pb: 0.3640 0.3640 0.0000

***

# 2
Material: HgOs4Au
Method: DFT, GGA-PBE
State: relaxed

Output
**Formation energy**: 1.037 eV/atom
**DOS(E_F)**: 8.27 states/eV per cell
**Space group**: F-43m, No. 216
**Spin magnetization**: 0.002 μB/cell

Unit cell a=5.2422 b=5.2422 c=5.2422 alpha=60.00 beta=60.00 gamma=60.00
Sites, in units of the cell vectors:
Hg: 0.0000 0.0000 0.0000
Os: 0.1257 0.6248 0.6248
Os: 0.6248 0.1257 0.6248
Os: 0.6248 0.6248 0.1257
Os: 0.6248 0.6248 0.6248
Au: 0.2500 0.2500 0.2500

***

# 3
Material: ScTl3Bi2S6
Method: DFT, GGA-PBE
State: relaxed

Output
**Space group**: C2/m, No. 12
**Spin magnetization**: 0.000 μB/cell
**Formation energy without anion corrections**: -0.73 eV/atom

Unit cell a=7.0048 b=7.0048 c=7.7941 alpha=98.60 beta=98.60 gamma=119.90
Sites, in units of the cell vectors:
Sc: 0.0000 0.0000 0.0000
Tl: 0.1693 0.8307 0.5000
Tl: 0.5000 0.5000 0.5000
Tl: 0.8307 0.1693 0.5000
Bi: 0.3334 0.6666 0.0000
Bi: 0.6666 0.3334 0.0000
S: 0.0662 0.3779 0.1994
S: 0.2439 0.2439 0.7967
S: 0.3779 0.0662 0.1994
S: 0.6221 0.9338 0.8006
S: 0.7561 0.7561 0.2033
S: 0.9338 0.6221 0.8006

***

# 4
Material: Y2CuCl
Method: DFT, GGA-PBE
State: relaxed

Output
**DOS(E_F)**: 0.74 states/eV per cell
**Space group**: Cm, No. 8
**Spin magnetization**: 0.000 μB/cell
**Formation energy without anion corrections**: -0.72 eV/atom
**Excess energy over the best structure of this formula in the dataset**: 48.8 meV per atom

Unit cell a=7.8308 b=7.8308 c=3.5690 alpha=103.11 beta=103.11 gamma=26.34
Sites, in units of the cell vectors:
Y: 0.0000 0.0000 0.0000
Y: 0.2253 0.2253 0.2275
Cu: 0.6330 0.6330 0.6359
Cl: 0.4128 0.4128 0.4133

***

# 5
Material: AlRhSe2Br
Method: DFT, GGA-PBE
State: relaxed

Output
**DOS(E_F)**: 5.64 states/eV per cell
**Space group**: P4/mmm, No. 123
**Spin magnetization**: 2.498 μB/cell
**Formation energy without anion corrections**: 0.45 eV/atom
**Excess energy over the best structure of this formula in the dataset**: 217.8 meV per atom

Unit cell a=4.8718 b=4.8718 c=4.9555 alpha=90.00 beta=90.00 gamma=90.00
Sites, in units of the cell vectors:
Al: 0.0000 0.0000 0.0000
Rh: 0.5000 0.5000 0.5000
Se: 0.0000 0.5000 0.0000
Se: 0.5000 0.0000 0.0000
Br: 0.0000 0.0000 0.5000

***

# 6
Material: MnGePHCN
Method: DFT, GGA-PBE
State: relaxed

Output
**DOS(E_F)**: 2.17 states/eV per cell
**Space group**: Pm, No. 6
**Spin magnetization**: 0.001 μB/cell
**Excess energy over the best structure of this formula in the dataset**: 139.1 meV per atom

Unit cell a=4.0773 b=3.7782 c=4.9518 alpha=90.00 beta=99.46 gamma=90.00
Sites, in units of the cell vectors:
Mn: 0.0000 0.0000 0.0000
Ge: 0.4772 0.0000 0.7098
P: 0.0598 0.5000 0.7718
H: 0.9355 0.5000 0.4852
C: 0.6727 0.0000 0.1947
N: 0.4117 0.0000 0.2993